No. 1
Computed, not measured: crystalline Ba3TaAs4 at its relaxed geometry at the PBE level of DFT.

Calculated values
The calculation puts the formation energy at -0.925 eV per atom. For the total moment, the calculation gives 0.00 μB per formula unit.

```
Ba3TaAs4
1.0
-6.346 -3.526 5.715
-0.135 -8.559 -5.430
8.033 -4.159 6.355
As Ta Ba
16 4 12
Cartesian
2.775 -12.678 2.618
1.310 -7.276 2.315
1.905 -4.608 -0.617
-1.800 -5.069 7.692
4.084 -6.419 5.060
-0.354 -11.635 7.256
3.351 -11.175 -1.053
0.241 -8.967 4.324
0.914 -7.979 8.046
6.631 -12.873 1.542
-2.533 -9.824 1.579
-5.080 -3.370 5.097
-1.969 -5.578 -0.279
0.637 -8.265 -1.407
3.521 -10.665 6.918
-1.224 -3.566 4.021
1.173 -9.846 6.496
-2.856 -12.016 0.554
0.378 -6.397 0.144
4.408 -4.227 6.085
4.044 -5.067 2.090
0.473 -14.018 4.651
4.148 -7.556 8.139
-5.755 -9.487 1.968
-2.493 -11.176 4.549
3.692 -9.326 3.652
0.886 -5.867 5.558
7.306 -6.756 4.671
1.078 -2.225 1.988
-2.597 -8.687 -1.500
-2.141 -6.918 2.987
0.665 -10.377 1.081
```

No. 2
Computed, not measured: crystalline BaTa2As2 at its relaxed geometry at the PBE level of DFT.

Calculated values
The calculation puts the formation energy at -0.628 eV per atom. As for the energy relative to the lowest polymorph listed for this composition: 0.0000 eV per atom. For the total moment, the calculation gives 0.00 μB per formula unit.

```
BaTa2As2
1.0
-2.452 3.112 -0.872
-1.971 -2.307 -2.693
-6.749 -1.730 3.365
As Ba Ta
2 1 2
Cartesian
-7.797 -0.781 0.263
-3.375 -0.144 -0.463
0.000 0.000 0.000
-5.706 0.892 0.355
-5.466 -1.817 -0.555
```

No. 3
Computed, not measured: crystalline Ba2TaAs at its relaxed geometry at the PBE level of DFT.

Calculated values
The calculation puts the formation energy at 0.064 eV per atom. For the total moment, the calculation gives 1.71 μB per formula unit.

```
Ba2TaAs
1.0
-3.921 -0.334 1.887
1.896 -3.419 3.333
2.437 2.937 5.584
Ta As Ba
1 1 2
Cartesian
2.548 -0.800 5.153
0.915 0.055 6.957
4.082 -0.681 8.361
-0.634 -0.113 3.708
```

No. 4
Computed, not measured: crystalline Ba2TaAs at its relaxed geometry at the PBE level of DFT.

Calculated values
The calculation puts the formation energy at 0.268 eV per atom. For the total moment, the calculation gives 3.05 μB per formula unit.

```
Ba2TaAs
1.0
-10.046 0.770 6.841
3.301 -10.082 5.982
-2.139 -3.269 8.068
Ba As Ta
4 2 2
Cartesian
-3.582 -7.628 11.858
-1.405 -6.894 7.753
-8.057 -8.917 16.272
-4.723 -1.725 5.898
-3.373 -4.656 6.411
-1.105 -9.004 10.230
0.000 0.000 0.000
-7.779 -3.578 10.660
```